No. 1
# Y2TlZn | OQMD via LeMat-Bulk | PBE | relaxed
data_Y2TlZn
_cell_length_a 5.288
_cell_length_b 5.288
_cell_length_c 5.288
_cell_angle_alpha 60.00
_cell_angle_beta 60.00
_cell_angle_gamma 60.00
_space_group_name_H-M_alt 'P 1'
_space_group_IT_number 1
loop_
_space_group_symop_operation_xyz
'x,y,z'
loop_
_atom_site_label
_atom_site_type_symbol
_atom_site_fract_x
_atom_site_fract_y
_atom_site_fract_z
Tl1 Tl 0.500 0.500 0.500
Y1 Y 0.000 0.000 0.000
Y2 Y 0.750 0.750 0.750
Zn1 Zn 0.250 0.250 0.250
# Magnetic moment: 0.34 μB/f.u.
# Space-group type: F-43m, No. 216
# Raw total energy: -3.982 eV/atom



No. 2
# YZrTl | OQMD via LeMat-Bulk | PBE | relaxed
data_YZrTl
_cell_length_a 4.996
_cell_length_b 4.996
_cell_length_c 4.996
_cell_angle_alpha 60.00
_cell_angle_beta 60.00
_cell_angle_gamma 60.00
_space_group_name_H-M_alt 'P 1'
_space_group_IT_number 1
loop_
_space_group_symop_operation_xyz
'x,y,z'
loop_
_atom_site_label
_atom_site_type_symbol
_atom_site_fract_x
_atom_site_fract_y
_atom_site_fract_z
Tl1 Tl 0.000 0.000 0.000
Y1 Y 0.250 0.250 0.250
Zr1 Zr 0.750 0.750 0.750
# Magnetic moment: 1.20 μB/f.u.
# Space-group type: F-43m, No. 216
# Raw total energy: -5.574 eV/atom



No. 3
# TlZn2 | OQMD via LeMat-Bulk | PBE | relaxed
data_TlZn2
_cell_length_a 4.769
_cell_length_b 10.322
_cell_length_c 5.108
_cell_angle_alpha 90.00
_cell_angle_beta 90.00
_cell_angle_gamma 90.00
_space_group_name_H-M_alt 'P 1'
_space_group_IT_number 1
loop_
_space_group_symop_operation_xyz
'x,y,z'
loop_
_atom_site_label
_atom_site_type_symbol
_atom_site_fract_x
_atom_site_fract_y
_atom_site_fract_z
Tl1 Tl 0.058 0.007 0.000
Tl2 Tl 0.058 0.659 0.000
Tl3 Tl 0.775 0.159 0.500
Tl4 Tl 0.775 0.507 0.500
Zn1 Zn 0.480 0.210 0.000
Zn2 Zn 0.983 0.333 0.000
Zn3 Zn 0.480 0.457 0.000
Zn4 Zn 0.568 0.833 0.000
Zn5 Zn 0.265 0.333 0.500
Zn6 Zn 0.353 0.710 0.500
Zn7 Zn 0.851 0.833 0.500
Zn8 Zn 0.353 0.957 0.500
# Space-group type: Pmmn, No. 59
# Raw total energy: -1.451 eV/atom



No. 4
# TlZn | OQMD via LeMat-Bulk | PBE | relaxed
data_TlZn
_cell_length_a 5.117
_cell_length_b 7.287
_cell_length_c 4.863
_cell_angle_alpha 90.00
_cell_angle_beta 90.00
_cell_angle_gamma 90.00
_space_group_name_H-M_alt 'P 1'
_space_group_IT_number 1
loop_
_space_group_symop_operation_xyz
'x,y,z'
loop_
_atom_site_label
_atom_site_type_symbol
_atom_site_fract_x
_atom_site_fract_y
_atom_site_fract_z
Tl1 Tl 0.939 0.471 0.000
Tl2 Tl 0.439 0.779 0.000
Tl3 Tl 0.394 0.471 0.500
Tl4 Tl 0.894 0.779 0.500
Zn1 Zn 0.011 0.062 0.000
Zn2 Zn 0.511 0.188 0.000
Zn3 Zn 0.322 0.062 0.500
Zn4 Zn 0.822 0.188 0.500
# Space-group type: Pbcm, No. 57
# Raw total energy: -1.689 eV/atom



No. 5
# TlZn | OQMD via LeMat-Bulk | PBE | relaxed
data_TlZn
_cell_length_a 7.535
_cell_length_b 7.258
_cell_length_c 5.383
_cell_angle_alpha 90.00
_cell_angle_beta 90.00
_cell_angle_gamma 103.04
_space_group_name_H-M_alt 'P 1'
_space_group_IT_number 1
loop_
_space_group_symop_operation_xyz
'x,y,z'
loop_
_atom_site_label
_atom_site_type_symbol
_atom_site_fract_x
_atom_site_fract_y
_atom_site_fract_z
Tl1 Tl 0.422 0.378 0.000
Tl2 Tl 0.958 0.497 0.000
Tl3 Tl 0.312 0.867 0.000
Tl4 Tl 0.910 0.188 0.500
Tl5 Tl 0.264 0.559 0.500
Tl6 Tl 0.800 0.677 0.500
Zn1 Zn 0.000 0.018 0.000
Zn2 Zn 0.685 0.130 0.000
Zn3 Zn 0.673 0.770 0.000
Zn4 Zn 0.222 0.038 0.500
Zn5 Zn 0.549 0.285 0.500
Zn6 Zn 0.538 0.925 0.500
# Space-group type: P2_1/m, No. 11
# Raw total energy: -1.660 eV/atom



No. 6
# TlZn | OQMD via LeMat-Bulk | PBE | relaxed
data_TlZn
_cell_length_a 5.746
_cell_length_b 14.623
_cell_length_c 4.467
_cell_angle_alpha 90.00
_cell_angle_beta 90.00
_cell_angle_gamma 90.00
_space_group_name_H-M_alt 'P 1'
_space_group_IT_number 1
loop_
_space_group_symop_operation_xyz
'x,y,z'
loop_
_atom_site_label
_atom_site_type_symbol
_atom_site_fract_x
_atom_site_fract_y
_atom_site_fract_z
Tl1 Tl 0.950 0.522 0.000
Tl2 Tl 0.459 0.640 0.000
Tl3 Tl 0.459 0.860 0.000
Tl4 Tl 0.950 0.978 0.000
Tl5 Tl 0.383 0.022 0.500
Tl6 Tl 0.874 0.140 0.500
Tl7 Tl 0.874 0.360 0.500
Tl8 Tl 0.383 0.478 0.500
Zn1 Zn 0.506 0.157 0.000
Zn2 Zn 0.092 0.250 0.000
Zn3 Zn 0.506 0.343 0.000
Zn4 Zn 0.966 0.750 0.000
Zn5 Zn 0.368 0.250 0.500
Zn6 Zn 0.827 0.657 0.500
Zn7 Zn 0.241 0.750 0.500
Zn8 Zn 0.827 0.843 0.500
# Space-group type: Pmmn, No. 59
# Raw total energy: -1.665 eV/atom



No. 7
# TlZn | OQMD via LeMat-Bulk | PBE | relaxed
data_TlZn
_cell_length_a 5.894
_cell_length_b 9.615
_cell_length_c 4.400
_cell_angle_alpha 90.00
_cell_angle_beta 90.00
_cell_angle_gamma 72.28
_space_group_name_H-M_alt 'P 1'
_space_group_IT_number 1
loop_
_space_group_symop_operation_xyz
'x,y,z'
loop_
_atom_site_label
_atom_site_type_symbol
_atom_site_fract_x
_atom_site_fract_y
_atom_site_fract_z
Tl1 Tl 0.522 0.200 0.000
Tl2 Tl 0.923 0.400 0.000
Tl3 Tl 0.524 0.800 0.000
Tl4 Tl 0.129 0.127 0.500
Tl5 Tl 0.454 0.474 0.500
Zn1 Zn 0.118 0.651 0.000
Zn2 Zn 0.969 0.950 0.000
Zn3 Zn 0.859 0.630 0.500
Zn4 Zn 0.145 0.800 0.500
Zn5 Zn 0.690 0.970 0.500
# Space-group type: Pm, No. 6
# Raw total energy: -1.705 eV/atom



No. 8
# TlZn2 | OQMD via LeMat-Bulk | PBE | relaxed
data_TlZn2
_cell_length_a 14.846
_cell_length_b 8.097
_cell_length_c 4.517
_cell_angle_alpha 90.00
_cell_angle_beta 90.00
_cell_angle_gamma 65.93
_space_group_name_H-M_alt 'P 1'
_space_group_IT_number 1
loop_
_space_group_symop_operation_xyz
'x,y,z'
loop_
_atom_site_label
_atom_site_type_symbol
_atom_site_fract_x
_atom_site_fract_y
_atom_site_fract_z
Tl1 Tl 0.983 0.016 0.000
Tl2 Tl 0.379 0.308 0.000
Tl3 Tl 0.769 0.375 0.000
Tl4 Tl 0.807 0.777 0.000
Tl5 Tl 0.816 0.053 0.500
Tl6 Tl 0.211 0.345 0.500
Tl7 Tl 0.388 0.584 0.500
Tl8 Tl 0.426 0.986 0.500
Zn1 Zn 0.601 0.095 0.000
Zn2 Zn 0.164 0.140 0.000
Zn3 Zn 0.980 0.413 0.000
Zn4 Zn 0.556 0.462 0.000
Zn5 Zn 0.086 0.599 0.000
Zn6 Zn 0.211 0.751 0.000
Zn7 Zn 0.567 0.785 0.000
Zn8 Zn 0.359 0.843 0.000
Zn9 Zn 0.030 0.221 0.500
Zn10 Zn 0.593 0.266 0.500
Zn11 Zn 0.835 0.519 0.500
Zn12 Zn 0.628 0.576 0.500
Zn13 Zn 0.983 0.609 0.500
Zn14 Zn 0.108 0.762 0.500
Zn15 Zn 0.638 0.900 0.500
Zn16 Zn 0.214 0.948 0.500
# Space-group type: P2_1/m, No. 11
# Raw total energy: -1.518 eV/atom



No. 9
# TlZn2 | OQMD via LeMat-Bulk | PBE | relaxed
data_TlZn2
_cell_length_a 17.245
_cell_length_b 3.349
_cell_length_c 4.343
_cell_angle_alpha 90.00
_cell_angle_beta 90.00
_cell_angle_gamma 90.00
_space_group_name_H-M_alt 'P 1'
_space_group_IT_number 1
loop_
_space_group_symop_operation_xyz
'x,y,z'
loop_
_atom_site_label
_atom_site_type_symbol
_atom_site_fract_x
_atom_site_fract_y
_atom_site_fract_z
Tl1 Tl 0.651 0.000 0.000
Tl2 Tl 0.151 0.500 0.000
Tl3 Tl 0.793 0.000 0.500
Tl4 Tl 0.293 0.500 0.500
Zn1 Zn 0.366 0.000 0.000
Zn2 Zn 0.985 0.000 0.000
Zn3 Zn 0.485 0.500 0.000
Zn4 Zn 0.866 0.500 0.000
Zn5 Zn 0.078 0.000 0.500
Zn6 Zn 0.459 0.000 0.500
Zn7 Zn 0.578 0.500 0.500
Zn8 Zn 0.959 0.500 0.500
# Space-group type: Cmcm, No. 63
# Raw total energy: -1.499 eV/atom



No. 10
# TlZn | OQMD via LeMat-Bulk | PBE | relaxed
data_TlZn
_cell_length_a 5.476
_cell_length_b 11.265
_cell_length_c 4.529
_cell_angle_alpha 90.00
_cell_angle_beta 90.00
_cell_angle_gamma 89.99
_space_group_name_H-M_alt 'P 1'
_space_group_IT_number 1
loop_
_space_group_symop_operation_xyz
'x,y,z'
loop_
_atom_site_label
_atom_site_type_symbol
_atom_site_fract_x
_atom_site_fract_y
_atom_site_fract_z
Tl1 Tl 0.435 0.144 0.000
Tl2 Tl 0.935 0.689 0.000
Tl3 Tl 0.900 0.153 0.500
Tl4 Tl 0.372 0.343 0.500
Tl5 Tl 0.872 0.491 0.500
Tl6 Tl 0.400 0.680 0.500
Zn1 Zn 0.953 0.330 0.000
Zn2 Zn 0.453 0.503 0.000
Zn3 Zn 0.539 0.886 0.000
Zn4 Zn 0.039 0.947 0.000
Zn5 Zn 0.801 0.892 0.500
Zn6 Zn 0.301 0.942 0.500
# Space-group type: Pmc2_1, No. 26
# Raw total energy: -1.670 eV/atom



No. 11
# TlZn | OQMD via LeMat-Bulk | PBE | relaxed
data_TlZn
_cell_length_a 5.968
_cell_length_b 12.175
_cell_length_c 5.184
_cell_angle_alpha 90.00
_cell_angle_beta 90.00
_cell_angle_gamma 90.00
_space_group_name_H-M_alt 'P 1'
_space_group_IT_number 1
loop_
_space_group_symop_operation_xyz
'x,y,z'
loop_
_atom_site_label
_atom_site_type_symbol
_atom_site_fract_x
_atom_site_fract_y
_atom_site_fract_z
Tl1 Tl 0.086 0.211 0.000
Tl2 Tl 0.589 0.375 0.000
Tl3 Tl 0.086 0.539 0.000
Tl4 Tl 0.348 0.875 0.000
Tl5 Tl 0.247 0.039 0.500
Tl6 Tl 0.985 0.375 0.500
Tl7 Tl 0.247 0.711 0.500
Tl8 Tl 0.744 0.875 0.500
Zn1 Zn 0.565 0.133 0.000
Zn2 Zn 0.565 0.617 0.000
Zn3 Zn 0.872 0.765 0.000
Zn4 Zn 0.872 0.985 0.000
Zn5 Zn 0.768 0.117 0.500
Zn6 Zn 0.461 0.266 0.500
Zn7 Zn 0.461 0.484 0.500
Zn8 Zn 0.768 0.633 0.500
# Space-group type: Pmmn, No. 59
# Raw total energy: -1.680 eV/atom



No. 12
# TlZn | OQMD via LeMat-Bulk | PBE | relaxed
data_TlZn
_cell_length_a 8.346
_cell_length_b 7.795
_cell_length_c 4.414
_cell_angle_alpha 90.00
_cell_angle_beta 90.00
_cell_angle_gamma 98.03
_space_group_name_H-M_alt 'P 1'
_space_group_IT_number 1
loop_
_space_group_symop_operation_xyz
'x,y,z'
loop_
_atom_site_label
_atom_site_type_symbol
_atom_site_fract_x
_atom_site_fract_y
_atom_site_fract_z
Tl1 Tl 0.319 0.226 0.000
Tl2 Tl 0.783 0.255 0.000
Tl3 Tl 0.327 0.720 0.000
Tl4 Tl 0.562 0.002 0.500
Tl5 Tl 0.106 0.467 0.500
Tl6 Tl 0.570 0.496 0.500
Zn1 Zn 0.929 0.607 0.000
Zn2 Zn 0.687 0.793 0.000
Zn3 Zn 0.014 0.953 0.000
Zn4 Zn 0.961 0.116 0.500
Zn5 Zn 0.874 0.770 0.500
Zn6 Zn 0.202 0.929 0.500
# Space-group type: P2_1/m, No. 11
# Raw total energy: -1.721 eV/atom